# 1
Here is a geometry-optimized LiUGePd structure from the Alexandria database. Energies are from PBE-GGA.

Cell lengths 6.7176, 6.7176, 6.7176 Å; angles 90.00, 90.00, 90.00 degrees
Last column: nearest neighbours and their distance in Å.
Space group F-43m (No. 216)
Symmetry-distinct sites (fractional):
Li 0.0000 0.0000 0.0000 (multiplicity 4)  4 Ge 2.91, 4 Pd 2.91
U 0.0000 0.0000 0.5000 (multiplicity 4)  4 Pd 2.91, 4 Ge 2.91
Ge 0.2500 0.2500 0.7500 (multiplicity 4)  4 Li 2.91, 4 U 2.91
Pd 0.2500 0.2500 0.2500 (multiplicity 4)  4 Li 2.91, 4 U 2.91

# 2
Here is a geometry-optimized LiYGe2Pd5 structure from the Alexandria database. Energies are from PBE-GGA.

Cell lengths 4.1375, 4.1375, 9.3224 Å; angles 90.00, 90.00, 90.00 degrees
Last column: nearest neighbours and their distance in Å.
Space group P4/mmm (No. 123)
Symmetry-distinct sites (fractional):
Li 0.0000 0.0000 0.0000 (multiplicity 1)  8 Ge 3.17, 8 Pd 3.29
Y 0.0000 0.0000 0.5000 (multiplicity 1)  12 Pd 2.93-2.95
Ge 0.5000 0.5000 0.1309 (multiplicity 2)  1 Ge 2.44, 4 Pd 2.46
Pd 0.0000 0.5000 0.2738 (multiplicity 4)  2 Ge 2.46
Pd 0.5000 0.5000 0.5000 (multiplicity 1)  4 Y 2.93, 8 Pd 2.95

# 3
Here is a geometry-optimized LiY2Ge3Pd4 structure from the Alexandria database. Energies are from PBE-GGA.

Cell lengths 4.2089, 4.2089, 10.3645 Å; angles 90.00, 90.00, 90.00 degrees
Last column: nearest neighbours and their distance in Å.
Space group P-4m2 (No. 115)
Symmetry-distinct sites (fractional):
Li 0.0000 0.0000 0.0000 (multiplicity 1)  4 Pd 2.49
Y 0.0000 0.5000 0.7467 (multiplicity 2)  6 Ge 3.19-3.36, 8 Pd 3.24-3.31, 2 Li 3.36
Ge 0.0000 0.5000 0.3627 (multiplicity 2)  5 Pd 2.42-2.54
Ge 0.5000 0.5000 0.0000 (multiplicity 1)  4 Pd 2.49
Pd 0.0000 0.0000 0.5000 (multiplicity 1)  4 Ge 2.54
Pd 0.0000 0.5000 0.1292 (multiplicity 2)  3 Ge 2.42-2.49, 2 Li 2.49
Pd 0.5000 0.5000 0.5000 (multiplicity 1)  4 Ge 2.54

# 4
Here is a geometry-optimized LiYGe2Pd4 structure from the Alexandria database. Energies are from PBE-GGA.

Cell lengths 4.3259, 4.3259, 24.5146 Å; angles 90.00, 90.00, 120.00 degrees
Last column: nearest neighbours and their distance in Å.
Space group R-3m (No. 166, hexagonal axes)
Symmetry-distinct sites (fractional):
Li 0.0000 0.0000 0.0000 (multiplicity 3)  8 Pd 2.44-2.64
Y 0.0000 0.0000 0.5000 (multiplicity 3)  8 Pd 2.99-3.24
Ge 0.0000 0.0000 0.2586 (multiplicity 6)  7 Pd 2.57-2.68
Pd 0.0000 0.0000 0.0995 (multiplicity 6)  1 Li 2.44, 3 Ge 2.57
Pd 0.0000 0.0000 0.3680 (multiplicity 6)  3 Li 2.64, 4 Ge 2.68

# 5
Here is a geometry-optimized LiYGe2Pd2 structure from the Alexandria database. Energies are from PBE-GGA.

Cell lengths 4.2949, 4.2949, 6.6080 Å; angles 90.00, 90.00, 120.00 degrees
Last column: nearest neighbours and their distance in Å.
Space group P-3m1 (No. 164)
Symmetry-distinct sites (fractional):
Li 0.0000 0.0000 0.0000 (multiplicity 1)  6 Pd 2.70, 6 Ge 2.91
Y 0.0000 0.0000 0.5000 (multiplicity 1)  6 Ge 3.05, 2 Li 3.30, 6 Pd 3.34
Ge 0.3333 0.6667 0.7683 (multiplicity 2)  4 Pd 2.52-2.59
Pd 0.3333 0.6667 0.1609 (multiplicity 2)  4 Ge 2.52-2.59, 3 Li 2.70

# 6
Here is a geometry-optimized Li2Zn2GePd5 structure from the Alexandria database. Energies are from PBE-GGA.

Cell lengths 9.3490, 9.3490, 3.6397 Å; angles 90.00, 90.00, 90.00 degrees
Last column: nearest neighbours and their distance in Å.
Space group P4/mbm (No. 127)
Symmetry-distinct sites (fractional):
Li 0.1685 0.3315 0.0000 (multiplicity 4)  3 Zn 2.66-2.82, 2 Pd 2.88
Zn 0.1307 0.6307 0.0000 (multiplicity 4)  6 Pd 2.50-2.51, 1 Li 2.66
Ge 0.0000 0.0000 0.0000 (multiplicity 2)  8 Pd 2.66
Pd 0.0000 0.5000 0.5000 (multiplicity 2)  4 Zn 2.51
Pd 0.0715 0.8048 0.5000 (multiplicity 8)  2 Zn 2.50, 2 Ge 2.66, 2 Pd 2.75

| no. | formation energy (eV/atom) |
| --- | --- |
| 1 | -0.20 |
| 2 | -0.65 |
| 3 | -0.79 |
| 4 | -0.68 |
| 5 | -0.77 |
| 6 | -0.42 |